# 1
Entry from OQMD: crystalline Tm5Zn4Cd at its relaxed geometry (PBE-GGA).

Cell and atoms, written as CIF:
```
data_Tm5Zn4Cd
_chemical_formula_sum 'Tm5 Zn4 Cd1'
_cell_length_a 3.524
_cell_length_b 3.524
_cell_length_c 17.968
_cell_angle_alpha 90.00
_cell_angle_beta 90.00
_cell_angle_gamma 90.00
_symmetry_space_group_name_H-M 'P 4/m m m'
_symmetry_Int_Tables_number 123
_symmetry_space_group_name_Hall '-P 4 2'
loop_
_atom_site_label
_atom_site_fract_x
_atom_site_fract_y
_atom_site_fract_z
Tm1 0.000 0.000 0.000
Tm2 0.000 0.000 0.194
Tm3 0.000 0.000 0.387
Zn1 0.500 0.500 0.097
Zn2 0.500 0.500 0.292
Cd1 0.500 0.500 0.500
```

# 2
# TmZrCd (PBE-GGA, optimized geometry)
# - energy above the lowest structure with this stoichiometry (meV per atom) = 0
data_TmZrCd
_chemical_formula_sum 'Tm4 Zr4 Cd4'
_cell_length_a 6.991
_cell_length_b 6.991
_cell_length_c 6.991
_cell_angle_alpha 90.00
_cell_angle_beta 90.00
_cell_angle_gamma 90.00
_symmetry_space_group_name_H-M 'F -4 3 m'
_symmetry_Int_Tables_number 216
_symmetry_space_group_name_Hall 'F -4 2 3'
loop_
_atom_site_label
_atom_site_fract_x
_atom_site_fract_y
_atom_site_fract_z
Tm1 0.000 0.000 0.000
Zr1 0.250 0.250 0.750
Cd1 0.000 0.000 0.500

# 3
Entry from OQMD: crystalline UCd at its relaxed geometry (PBE-GGA).

Cell and atoms, written as CIF:
```
data_UCd
_chemical_formula_sum 'U4 Cd4'
_cell_length_a 6.155
_cell_length_b 6.155
_cell_length_c 6.155
_cell_angle_alpha 90.00
_cell_angle_beta 90.00
_cell_angle_gamma 90.00
_symmetry_space_group_name_H-M 'F m -3 m'
_symmetry_Int_Tables_number 225
_symmetry_space_group_name_Hall '-F 4 2 3'
loop_
_atom_site_label
_atom_site_fract_x
_atom_site_fract_y
_atom_site_fract_z
U1 0.000 0.000 0.000
Cd1 0.000 0.000 0.500
```

Table of spin magnetization (μB per atom), in record order: 0.00, 0.25, 1.65
Table of ΔH_f (0 K) (eV/atom), in record order: -0.348, 0.690, 1.268